(1)
AsRh5 | GGA-PBE | optimized geometry

The crystal system is cubic. The total energy comes out at -6.429 eV/atom. The calculation puts the formation enthalpy at 0 K at 2.8 eV per formula unit. The total moment comes out at 9.31 Bohr magnetons per cell.

It has space group F-43m (No. 216), with a = 7.246 Å, b = 7.246 Å, c = 7.246 Å, α = 90.00°, β = 90.00° and γ = 90.00°. The asymmetric unit holds As at (0.000, 0.000, 0.000), Rh at (0.125, 0.125, 0.375) and Rh at (0.250, 0.250, 0.750).

---

(2)
TbYHo | GGA-PBE | optimized geometry

The crystal system is triclinic. The total energy comes out at -5.128 eV/atom. The calculation puts the formation enthalpy at 0 K at 0.3 eV per formula unit. The total moment comes out at 0.00 Bohr magnetons per cell.

It has space group P-1 (No. 2), with a = 3.513 Å, b = 6.059 Å, c = 9.589 Å, α = 84.73°, β = 89.95° and γ = 73.17°. The asymmetric unit holds Tb at (0.111, 0.275, 0.230), Y at (0.147, 0.207, 0.593) and Ho at (0.368, 0.764, 0.084).

---

What is the total moment in the second record? 0.00 Bohr magnetons per cell

---

Among the records above, which one has the highest formation enthalpy at 0 K? AsRh5